Record 1
InSbP2Cl PBE-GGA relaxed; crystal system = tetragonal; total energy = -3.4200 eV/atom; SG = No. 123; formation energy from raw total energies = 485 meV per atom
1.0
-0.779 -3.679 -3.608
-3.362 -2.402 3.176
-4.096 2.938 -2.112
Sb P Cl In
1 2 1 1
direct
0.000 0.000 0.000
0.500 0.000 0.000
0.000 0.500 0.000
0.000 0.000 0.500
0.500 0.500 0.500

Record 2
ScInP2Cl PBE-GGA relaxed; crystal system = tetragonal; total energy = -4.5996 eV/atom; SG = No. 123; formation energy from raw total energies = -252 meV per atom
1.0
-3.019 -0.583 4.005
-3.895 -0.938 -3.073
1.082 -4.851 0.110
P In Cl Sc
2 1 1 1
direct
0.000 0.500 0.000
0.500 0.000 0.000
0.500 0.500 0.500
0.000 0.000 0.500
0.000 0.000 0.000

Record 3
ScInPCl2 PBE-GGA relaxed; crystal system = tetragonal; total energy = -3.7711 eV/atom; SG = No. 123; formation energy from raw total energies = -137 meV per atom
1.0
4.954 0.000 0.000
0.000 4.954 0.000
0.000 0.000 5.569
Cl Sc In P
2 1 1 1
direct
0.500 0.000 0.000
0.000 0.500 0.000
0.500 0.500 0.500
0.000 0.000 0.000
0.000 0.000 0.500

Record 4
ScInPCl2 PBE-GGA relaxed; crystal system = tetragonal; total energy = -4.0166 eV/atom; SG = No. 123; formation energy from raw total energies = -382 meV per atom
1.0
5.577 0.000 0.000
0.000 5.577 0.000
0.000 0.000 6.714
In P Sc Cl
1 1 1 2
direct
0.500 0.500 0.500
0.000 0.000 0.500
0.000 0.000 0.000
0.500 0.000 0.000
0.000 0.500 0.000

Record 5
ScInP2Cl PBE-GGA relaxed; crystal system = tetragonal; total energy = -4.0364 eV/atom; SG = No. 123; formation energy from raw total energies = 311 meV per atom
1.0
5.167 0.000 0.000
0.000 5.167 0.000
0.000 0.000 5.187
Cl In P Sc
1 1 2 1
direct
0.000 0.000 0.500
0.000 0.000 0.000
0.000 0.500 0.000
0.500 0.000 0.000
0.500 0.500 0.500

Record 6
InPSeCl2 PBE-GGA relaxed; crystal system = tetragonal; total energy = -2.7957 eV/atom; SG = No. 123; formation energy from raw total energies = 270 meV per atom
1.0
5.021 0.000 0.000
0.000 5.021 0.000
0.000 0.000 5.658
P Cl In Se
1 2 1 1
direct
0.000 0.000 0.500
0.500 0.000 0.000
0.000 0.500 0.000
0.000 0.000 0.000
0.500 0.500 0.500

Record 7
InP2SeCl PBE-GGA relaxed; crystal system = tetragonal; total energy = -3.2008 eV/atom; SG = No. 123; formation energy from raw total energies = 577 meV per atom
1.0
4.642 0.000 0.000
0.000 4.642 0.000
0.000 0.000 6.971
P Se Cl In
2 1 1 1
direct
0.500 0.000 0.000
0.000 0.500 0.000
0.000 0.000 0.000
0.000 0.000 0.500
0.500 0.500 0.500

Record 8
InP2SeCl PBE-GGA relaxed; crystal system = tetragonal; total energy = -2.9498 eV/atom; SG = No. 123; formation energy from raw total energies = 828 meV per atom
1.0
-1.680 3.130 3.781
-4.744 -2.058 -0.404
1.191 -3.403 3.346
Se P In Cl
1 2 1 1
direct
0.500 0.500 0.500
0.000 0.500 0.000
0.500 0.000 0.000
0.000 0.000 0.000
0.000 0.000 0.500

Record 9
InPSeCl2 PBE-GGA relaxed; crystal system = tetragonal; total energy = -2.9356 eV/atom; SG = No. 123; formation energy from raw total energies = 130 meV per atom
1.0
-4.231 -3.794 0.153
2.557 -2.678 4.315
-2.313 2.702 3.048
In Se Cl P
1 1 2 1
direct
0.500 0.500 0.500
0.000 0.000 0.000
0.000 0.500 0.000
0.500 0.000 0.000
0.000 0.000 0.500

Record 10
InSiPCl2 PBE-GGA relaxed; crystal system = tetragonal; total energy = -3.5371 eV/atom; SG = No. 123; formation energy from raw total energies = -84 meV per atom
1.0
-1.474 -2.001 -4.154
-1.564 -3.886 2.427
-4.372 2.097 0.541
Si Cl P In
1 2 1 1
direct
0.000 0.000 0.000
0.500 0.000 0.000
0.000 0.500 0.000
0.000 0.000 0.500
0.500 0.500 0.500

Record 11
InSiP2Cl PBE-GGA relaxed; crystal system = tetragonal; total energy = -3.8831 eV/atom; SG = No. 123; formation energy from raw total energies = 282 meV per atom
1.0
4.591 0.000 0.000
0.000 4.591 0.000
0.000 0.000 4.950
Cl P In Si
1 2 1 1
direct
0.000 0.000 0.500
0.500 0.000 0.000
0.000 0.500 0.000
0.500 0.500 0.500
0.000 0.000 0.000

Record 12
InSi2PCl PBE-GGA relaxed; crystal system = tetragonal; total energy = -3.0300 eV/atom; SG = No. 123; formation energy from raw total energies = 1138 meV per atom
1.0
-0.301 -2.351 4.720
-3.569 -3.118 -1.781
3.734 -3.433 -1.472
In Si Cl P
1 2 1 1
direct
0.000 0.000 0.000
0.500 0.000 0.000
0.000 0.000 0.500
0.000 0.500 0.000
0.500 0.500 0.500

- Number 11 is which compound?
  InSiP2Cl

- Among the records above, which one has the highest total energy?
  number 6

- What is the formula in the fourth record?
  ScInPCl2

- Which of these has the lowest total energy?
  number 2